Here is a crystal of InRhCl2 relaxed with PBEsol from Alexandria via LeMat-Bulk. Energies are from SCAN.

The energy relative to the elements, uncorrected comes out at -0.30 eV/atom. The magnetization is 1.38 μB per formula unit. Its raw total energy is -21.08 eV/atom.

The space group is R-3m (No. 166, hexagonal axes) and the conventional cell measures 3.4519, 3.4519 and 26.2001 Å, with angles of 90.00, 90.00 and 120.00 degrees. The inequivalent atoms are In at (0.0000, 0.0000, 0.0000), Rh at (0.0000, 0.0000, 0.5000) and Cl at (0.0000, 0.0000, 0.1134).

=====

Here is a crystal of ScFe2Mo relaxed with PBEsol from Alexandria via LeMat-Bulk. Energies are from SCAN.

The magnetization is 4.05 μB per formula unit. Its raw total energy is -21.23 eV/atom. The calculation puts the formation energy at 116 meV/atom.

The space group is P4mm (No. 99) and the conventional cell measures 2.965, 2.965 and 6.471 Å, with angles of 90.00, 90.00 and 90.00 degrees. The inequivalent atoms are Sc at (0.000, 0.000, 0.000), Fe at (0.000, 0.000, 0.471), Fe at (0.500, 0.500, 0.272) and Mo at (0.500, 0.500, 0.688).

=====

Here is a crystal of Ca3Zr2O7 relaxed with PBEsol from Alexandria via LeMat-Bulk. Energies are from SCAN.

The energy relative to the elements, uncorrected comes out at -3.51 eV/atom. The magnetization is 0.00 μB per formula unit. Its raw total energy is -14.68 eV/atom.

The space group is Cmcm (No. 63) and the conventional cell measures 19.764, 5.732 and 5.716 Å, with angles of 90.00, 90.00 and 90.00 degrees. The inequivalent atoms are Ca at (0.000, 0.221, 0.250), Ca at (0.192, 0.244, 0.250), Zr at (0.101, 0.255, 0.750), O at (0.000, 0.372, 0.750), O at (0.076, 0.000, 0.000), O at (0.128, 0.500, 0.000) and O at (0.201, 0.146, 0.750).

=====

Here is a crystal of Ba2Ni relaxed with PBEsol from Alexandria via LeMat-Bulk. Energies are from SCAN.

The magnetization is 0.00 μB per formula unit. Its raw total energy is -31.62 eV/atom. The calculation puts the formation energy at 133 meV/atom.

The space group is P-3m1 (No. 164) and the conventional cell measures 4.3958, 4.3958 and 7.1770 Å, with angles of 90.00, 90.00 and 120.00 degrees. The inequivalent atoms are Ba at (0.3333, 0.6667, 0.2698) and Ni at (0.0000, 0.0000, 0.5000).

=====

Here is a crystal of MgTlP2 relaxed with PBEsol from Alexandria via LeMat-Bulk. Energies are from SCAN.

The magnetization is 0.00 μB per formula unit. Its raw total energy is -24.18 eV/atom. The calculation puts the formation energy at 350 meV/atom.

The space group is I4/mmm (No. 139) and the conventional cell measures 4.433, 4.433 and 7.847 Å, with angles of 90.00, 90.00 and 90.00 degrees. The inequivalent atoms are Mg at (0.000, 0.000, 0.000), Tl at (0.000, 0.000, 0.500) and P at (0.000, 0.500, 0.250).

=====

Here is a crystal of Be2AlAs relaxed with PBEsol from Alexandria via LeMat-Bulk. Energies are from SCAN.

The magnetization is 0.00 μB per formula unit. Its raw total energy is -8.70 eV/atom. The calculation puts the formation energy at 459 meV/atom.

The space group is Fm-3m (No. 225) and the conventional cell measures 5.948, 5.948 and 5.948 Å, with angles of 90.00, 90.00 and 90.00 degrees. The inequivalent atoms are Be at (0.250, 0.250, 0.250), Al at (0.000, 0.000, 0.000) and As at (0.000, 0.000, 0.500).

=====

Here is a crystal of FeSn2HgF relaxed with PBEsol from Alexandria via LeMat-Bulk. Energies are from SCAN.

The energy relative to the elements, uncorrected comes out at 0.15 eV/atom. The magnetization is 3.36 μB per formula unit. Its raw total energy is -32.19 eV/atom.

The space group is P4/mmm (No. 123) and the conventional cell measures 4.642, 4.642 and 4.969 Å, with angles of 90.00, 90.00 and 90.00 degrees. The inequivalent atoms are Fe at (0.000, 0.000, 0.000), Sn at (0.000, 0.500, 0.500), Hg at (0.500, 0.500, 0.000) and F at (0.500, 0.500, 0.500).

=====

Here is a crystal of ThMgHg2 relaxed with PBEsol from Alexandria via LeMat-Bulk. Energies are from SCAN.

The magnetization is 0.00 μB per formula unit. Its raw total energy is -59.75 eV/atom. The calculation puts the formation energy at -441 meV/atom.

The space group is Fm-3m (No. 225) and the conventional cell measures 7.263, 7.263 and 7.263 Å, with angles of 90.00, 90.00 and 90.00 degrees. The inequivalent atoms are Th at (0.000, 0.000, 0.000), Mg at (0.000, 0.000, 0.500) and Hg at (0.250, 0.250, 0.250).

=====

Here is a crystal of LaAgHg2 relaxed with PBEsol from Alexandria via LeMat-Bulk. Energies are from SCAN.

The magnetization is 0.00 μB per formula unit. Its raw total energy is -53.02 eV/atom. The calculation puts the formation energy at -322 meV/atom.

The space group is P4/mmm (No. 123) and the conventional cell measures 4.527, 4.527 and 4.744 Å, with angles of 90.00, 90.00 and 90.00 degrees. The inequivalent atoms are La at (0.000, 0.000, 0.000), Ag at (0.500, 0.500, 0.000) and Hg at (0.000, 0.500, 0.500).

=====

Here is a crystal of Mo2OsPt relaxed with PBEsol from Alexandria via LeMat-Bulk. Energies are from SCAN.

The magnetization is 0.00 μB per formula unit. Its raw total energy is -53.18 eV/atom. The calculation puts the formation energy at -223 meV/atom.

The space group is Pmmm (No. 47) and the conventional cell measures 2.738, 3.921 and 5.498 Å, with angles of 90.00, 90.00 and 90.00 degrees. The inequivalent atoms are Mo at (0.000, 0.000, 0.236), Os at (0.500, 0.500, 0.000) and Pt at (0.500, 0.500, 0.500).

=====

Here is a crystal of MnCl2 relaxed with PBEsol from Alexandria via LeMat-Bulk. Energies are from SCAN.

The energy relative to the elements, uncorrected comes out at -1.58 eV/atom. The magnetization is 5.00 μB per formula unit. Its raw total energy is -12.98 eV/atom.

The space group is R-3m (No. 166, hexagonal axes) and the conventional cell measures 3.6333, 3.6333 and 18.2714 Å, with angles of 90.00, 90.00 and 120.00 degrees. The inequivalent atoms are Mn at (0.0000, 0.0000, 0.0000) and Cl at (0.0000, 0.0000, 0.2579).

=====

Here is a crystal of NiAs3Pb relaxed with PBEsol from Alexandria via LeMat-Bulk. Energies are from SCAN.

The magnetization is 2.30 μB per formula unit. Its raw total energy is -28.74 eV/atom. The calculation puts the formation energy at 1769 meV/atom.

The space group is Pm-3m (No. 221) and the conventional cell measures 5.247, 5.247 and 5.247 Å, with angles of 90.00, 90.00 and 90.00 degrees. The inequivalent atoms are Ni at (0.000, 0.000, 0.000), As at (0.000, 0.500, 0.500) and Pb at (0.500, 0.500, 0.500).

=====

> Which value of magnetization does entry 4 give?

0.00 μB per formula unit

=====

> magnetization of number 11 (MnCl2)?

5.00 μB per formula unit

=====

> What is the magnetization in the seventh record?

3.36 μB per formula unit

=====

> magnetization of number 1 (InRhCl2)?

1.38 μB per formula unit